Mn2V2O7 | PBE+U | relaxed

V ... 146 Å³ per cell
Energy above the most stable polymorph in this dataset ... 0.000 eV/atom
Crystal system ... monoclinic
Space-group type ... C2/m

Lattice parameters (Å, degrees): 5.0986 5.5546 5.5546 107.94 97.06 97.06
Last column: magnetic moment on the atom in μB.
Sites, in units of the cell vectors:
O: 0.7933 0.4323 0.1081  -0.02
Mn: 0.0000 0.8126 0.1874  4.58
O: 0.5000 0.5000 0.5000  -0.02
O: 0.7933 0.1081 0.4323  -0.02
O: 0.2067 0.8919 0.5677  -0.02
Mn: 0.0000 0.1874 0.8126  4.58
O: 0.7170 0.9194 0.9194  -0.01
V: 0.3963 0.7451 0.7451  0.29
O: 0.2830 0.0806 0.0806  -0.01
V: 0.6037 0.2549 0.2549  0.29
O: 0.2067 0.5677 0.8919  -0.02